The following is a DFT calculation (PBE) of FeTcAs2 after structural relaxation.

Lattice parameters (Å, degrees): 2.974 2.974 7.727 90.00 90.00 118.98
Fractional positions:
Fe: 0.000 0.000 0.000
Tc: 0.000 0.000 0.500
As: 0.500 0.500 0.239
As: 0.500 0.500 0.761

Values from the calculation:
Energy above the most stable polymorph in this dataset   369 meV per atom
Space group   Cmmm, No. 65
Total moment   0.9 Bohr magnetons per cell
Energy relative to the elements   0.34 eV/atom
Volume   60 Å³ per cell
DFT total energy   -6.694 eV per atom

=====

The following is a DFT calculation (PBE) of Mg2TlAg after structural relaxation.

Lattice parameters (Å, degrees): 5.152 5.152 5.603 100.74 100.74 37.27
Fractional positions:
Mg: 0.242 0.242 0.234
Mg: 0.758 0.758 0.766
Tl: 0.000 0.000 0.500
Ag: 0.500 0.500 0.000

Values from the calculation:
Space group   C2/m, No. 12
Total moment   0.0 Bohr magnetons per cell
Energy relative to the elements   -0.04 eV/atom
Volume   88 Å³ per cell
DFT total energy   -2.141 eV per atom

=====

The following is a DFT calculation (PBE) of TiIn2IrCl after structural relaxation.

Lattice parameters (Å, degrees): 5.051 5.051 4.348 90.00 90.00 90.00
Fractional positions:
Ti: 0.000 0.000 0.000
In: 0.000 0.500 0.500
In: 0.500 0.000 0.500
Ir: 0.500 0.500 0.000
Cl: 0.000 0.000 0.500

Values from the calculation:
Space group   P4/mmm, No. 123
Total moment   0.0 Bohr magnetons per cell
ΔE_f (raw)   19.06 kcal/mol of atoms
Volume   111 Å³ per cell
DFT total energy   -3.989 eV per atom

=====

The following is a DFT calculation (PBE) of NaPmH8Pd4 after structural relaxation.

Lattice parameters (Å, degrees): 6.326 6.326 6.326 54.06 54.06 54.06
Fractional positions:
Na: 0.000 0.000 0.000
Pm: 0.628 0.628 0.628
H: 0.337 0.337 0.337
H: 0.360 0.360 0.832
H: 0.360 0.832 0.360
H: 0.440 0.890 0.890
H: 0.832 0.360 0.360
H: 0.851 0.851 0.851
H: 0.890 0.440 0.890
H: 0.890 0.890 0.440
Pd: 0.129 0.632 0.632
Pd: 0.235 0.235 0.235
Pd: 0.632 0.129 0.632
Pd: 0.632 0.632 0.129

Values from the calculation:
Space group   R3m, No. 160
Total moment   0.0 Bohr magnetons per cell
Volume   154 Å³ per cell
DFT total energy   -3.977 eV per atom

=====

The following is a DFT calculation (PBE) of Dy8ErTh4 after structural relaxation.

Lattice parameters (Å, degrees): 9.861 9.861 9.861 44.00 44.00 44.00
Fractional positions:
Dy: 0.191 0.751 0.751
Dy: 0.220 0.220 0.220
Dy: 0.249 0.249 0.809
Dy: 0.249 0.809 0.249
Dy: 0.751 0.191 0.751
Dy: 0.751 0.751 0.191
Dy: 0.780 0.780 0.780
Dy: 0.809 0.249 0.249
Er: 0.500 0.500 0.500
Th: 0.000 0.000 0.000
Th: 0.000 0.500 0.500
Th: 0.500 0.000 0.500
Th: 0.500 0.500 0.000

Values from the calculation:
Space group   R-3m, No. 166
Total moment   0.0 Bohr magnetons per cell
Energy relative to the elements   0.23 eV/atom
Volume   420 Å³ per cell
DFT total energy   -5.237 eV per atom

=====

The following is a DFT calculation (PBE) of CuAsRh2 after structural relaxation.

Lattice parameters (Å, degrees): 2.891 4.089 4.975 90.00 106.71 90.00
Fractional positions:
Cu: 0.000 0.000 0.000
As: 0.849 0.500 0.692
Rh: 0.267 0.000 0.529
Rh: 0.584 0.500 0.168

Values from the calculation:
Space group   Pm, No. 6
Total moment   0.0 Bohr magnetons per cell
Energy relative to the elements   -0.08 eV/atom
Volume   56 Å³ per cell
DFT total energy   -5.940 eV per atom